No. 1
## LiSmZnS3 (PBE-GGA)

Data for crystalline LiSmZnS3 at its relaxed geometry.

As for the magnetization: 0.00 μB/atom. As for the excess energy over the best structure of this formula in the dataset: 0.050 eV per atom.

The structure belongs to space group Cmcm (No. 63); the cell edges are 3.888, 12.251 and 10.808 Å and the angles 90.00°, 90.00° and 90.00°. The distinct sites, in fractional coordinates, are Li at (0.000, 0.234, 0.250), Sm at (0.000, 0.000, 0.000), Zn at (0.000, 0.475, 0.750), S at (0.000, 0.090, 0.750) and S at (0.000, 0.357, 0.583).

No. 2
## Bi2Pt2O5 (PBE-GGA)

Data for crystalline Bi2Pt2O5 at its relaxed geometry.

As for the magnetization: 0.00 μB/atom. As for the excess energy over the best structure of this formula in the dataset: 0.000 eV per atom.

The structure belongs to space group P4/mmm (No. 123); the cell edges are 4.106, 4.106 and 7.024 Å and the angles 90.00°, 90.00° and 90.00°. The distinct sites, in fractional coordinates, are Bi at (0.000, 0.000, 0.000), Bi at (0.000, 0.000, 0.500), Pt at (0.500, 0.500, 0.193), O at (0.000, 0.500, 0.241) and O at (0.500, 0.500, 0.500).

No. 3
## Ba3Sb4W2 (PBE-GGA)

Data for crystalline Ba3Sb4W2 at its relaxed geometry.

As for the magnetization: 0.00 μB/atom. The value obtained for the total energy is -5.695 eV/atom.

The structure belongs to space group C2/m (No. 12); the cell edges are 18.033, 4.189 and 8.817 Å and the angles 90.00°, 114.75° and 90.00°. The distinct sites, in fractional coordinates, are Ba at (0.000, 0.000, 0.000), Ba at (0.131, 0.000, 0.545), Sb at (0.045, 0.500, 0.743), Sb at (0.208, 0.000, 0.207) and W at (0.201, 0.500, 0.979).

No. 4
## KZnGa2Ir (PBE-GGA)

Data for crystalline KZnGa2Ir at its relaxed geometry.

As for the magnetization: 0.00 μB/atom. The value obtained for the total energy is -3.787 eV/atom.

The structure belongs to space group P4/mmm (No. 123); the cell edges are 4.830, 4.830 and 5.007 Å and the angles 90.00°, 90.00° and 90.00°. The distinct sites, in fractional coordinates, are K at (0.000, 0.000, 0.000), Zn at (0.500, 0.500, 0.000), Ga at (0.000, 0.500, 0.500) and Ir at (0.500, 0.500, 0.500).

No. 5
## Tb2TmGa3Si2Ni (PBE-GGA)

Data for crystalline Tb2TmGa3Si2Ni at its relaxed geometry.

As for the magnetization: 0.00 μB/atom. The value obtained for the total energy is -5.047 eV/atom.

The structure belongs to space group Amm2 (No. 38); the cell edges are 4.145, 11.860 and 6.884 Å and the angles 90.00°, 90.00° and 90.00°. The distinct sites, in fractional coordinates, are Tb at (0.000, 0.202, 0.000), Tm at (0.000, 0.000, 0.605), Ga at (0.500, 0.000, 0.966), Ga at (0.500, 0.117, 0.322), Si at (0.500, 0.164, 0.702) and Ni at (0.000, 0.000, 0.207).

No. 6
## KCoGe (PBE-GGA)

Data for crystalline KCoGe at its relaxed geometry.

As for the magnetization: 0.45 μB/atom. As for the excess energy over the best structure of this formula in the dataset: 0.825 eV per atom.

The structure belongs to space group F-43m (No. 216); the cell edges are 7.112, 7.112 and 7.112 Å and the angles 90.00°, 90.00° and 90.00°. The distinct sites, in fractional coordinates, are K at (0.000, 0.000, 0.000), Co at (0.250, 0.250, 0.750) and Ge at (0.250, 0.250, 0.250).

No. 7
## Dy5Tm3 (PBE-GGA)

Data for crystalline Dy5Tm3 at its relaxed geometry.

As for the magnetization: 0.02 μB/atom. The formation enthalpy at 0 K is 0.0055 eV/atom.

The structure belongs to space group P-6m2 (No. 187); the cell edges are 7.1729, 7.1729 and 5.5730 Å and the angles 90.00°, 90.00° and 120.00°. The distinct sites, in fractional coordinates, are Dy at (0.0000, 0.0000, 0.0000), Dy at (0.0000, 0.5000, 0.0000), Dy at (0.3333, 0.6667, 0.5000) and Tm at (0.3338, 0.1669, 0.5000).

No. 8
## ThBMo (PBE-GGA)

Data for crystalline ThBMo at its relaxed geometry.

As for the magnetization: 0.21 μB/atom. The value obtained for the total energy is -7.917 eV/atom.

The structure belongs to space group F-43m (No. 216); the cell edges are 6.093, 6.093 and 6.093 Å and the angles 90.00°, 90.00° and 90.00°. The distinct sites, in fractional coordinates, are Th at (0.000, 0.000, 0.000), B at (0.250, 0.250, 0.750) and Mo at (0.000, 0.000, 0.500).

No. 9
## Bi2Pt (PBE-GGA)

Data for crystalline Bi2Pt at its relaxed geometry.

As for the magnetization: 0.00 μB/atom. The value obtained for the total energy is -3.846 eV/atom.

The structure belongs to space group Fd-3m (No. 227, origin choice 2); the cell edges are 8.738, 8.738 and 8.738 Å and the angles 90.00°, 90.00° and 90.00°. The distinct sites, in fractional coordinates, are Bi at (0.000, 0.000, 0.000) and Pt at (0.125, 0.125, 0.625).